# 1
The following is a GGA-PBE calculation of crystalline Pa4GaTc at its relaxed geometry, from the Alexandria database.

a b c (Å): 7.414 7.414 5.887
angles (deg): 103.16 103.16 112.64
Sites, in units of the cell vectors:
Pa 0.067 0.683 0.926
Pa 0.208 0.402 0.681
Pa 0.317 0.933 0.574
Pa 0.402 0.208 0.181
Pa 0.598 0.792 0.819
Pa 0.683 0.067 0.426
Pa 0.792 0.598 0.319
Pa 0.933 0.317 0.074
Ga 0.388 0.612 0.250
Ga 0.612 0.388 0.750
Tc 0.002 0.998 0.750
Tc 0.998 0.002 0.250

ΔE_f, eV per atom: -0.16
Density, Mg/m³: 13.3
Calculated volume, A^3/atom: 22.7
Fermi-level density of states, states/eV/f.u.: 11.2
Total energy, eV/atom: -8.72



# 2
The following is a GGA-PBE calculation of crystalline CaLaTl at its relaxed geometry, from the Alexandria database.

a b c (Å): 4.396 5.332 8.587
angles (deg): 90.00 102.09 90.00
Sites, in units of the cell vectors:
Ca 0.243 0.250 0.495
Ca 0.757 0.750 0.505
La 0.153 0.750 0.126
La 0.847 0.250 0.874
Tl 0.372 0.750 0.783
Tl 0.628 0.250 0.217

ΔE_f, eV per atom: -0.27
Density, Mg/m³: 6.5
Calculated volume, A^3/atom: 32.8
Fermi-level density of states, states/eV/f.u.: 2.7
Total energy, eV/atom: -3.37



# 3
The following is a GGA-PBE calculation of crystalline ZrSc at its relaxed geometry, from the Alexandria database.

a b c (Å): 3.243 3.243 10.547
angles (deg): 98.82 98.82 60.03
Sites, in units of the cell vectors:
Zr 0.209 0.209 0.125
Zr 0.791 0.791 0.875
Sc 0.377 0.377 0.630
Sc 0.623 0.623 0.370

ΔE_f, eV per atom: 0.01
Density, Mg/m³: 4.8
Calculated volume, A^3/atom: 23.6
Fermi-level density of states, states/eV/f.u.: 3.1
Total energy, eV/atom: -7.43



# 4
The following is a GGA-PBE calculation of crystalline KZrTl at its relaxed geometry, from the Alexandria database.

a b c (Å): 13.736 5.851 5.452
angles (deg): 90.00 90.00 90.00
Sites, in units of the cell vectors:
K 0.247 0.250 0.216
K 0.253 0.750 0.716
K 0.747 0.250 0.284
K 0.753 0.750 0.784
Zr 0.001 0.250 0.503
Zr 0.499 0.750 0.003
Zr 0.501 0.250 0.997
Zr 0.999 0.750 0.497
Tl 0.000 0.000 0.000
Tl 0.000 0.500 0.000
Tl 0.500 0.000 0.500
Tl 0.500 0.500 0.500

ΔE_f, eV per atom: 0.35
Density, Mg/m³: 5.1
Calculated volume, A^3/atom: 36.5
Fermi-level density of states, states/eV/f.u.: 2.9
Total energy, eV/atom: -3.65



# 5
The following is a GGA-PBE calculation of crystalline Pr5CdHg2 at its relaxed geometry, from the Alexandria database.

a b c (Å): 8.931 8.931 8.931
angles (deg): 120.63 120.63 88.91
Sites, in units of the cell vectors:
Pr 0.000 0.000 0.000
Pr 0.004 0.504 0.808
Pr 0.197 0.004 0.500
Pr 0.303 0.803 0.808
Pr 0.496 0.303 0.500
Pr 0.500 0.500 0.000
Pr 0.504 0.697 0.500
Pr 0.697 0.197 0.192
Pr 0.803 0.996 0.500
Pr 0.996 0.496 0.192
Cd 0.250 0.250 0.000
Cd 0.750 0.750 0.000
Hg 0.141 0.359 0.500
Hg 0.359 0.859 0.218
Hg 0.641 0.141 0.782
Hg 0.859 0.641 0.500

ΔE_f, eV per atom: -0.29
Density, Mg/m³: 8.1
Calculated volume, A^3/atom: 31.2
Fermi-level density of states, states/eV/f.u.: 8.0
Total energy, eV/atom: -3.47



# 6
The following is a GGA-PBE calculation of crystalline LiMg2BiH at its relaxed geometry, from the Alexandria database.

a b c (Å): 4.549 4.549 4.479
angles (deg): 90.00 90.00 90.00
Sites, in units of the cell vectors:
Li 0.000 0.000 0.000
Mg 0.000 0.500 0.500
Mg 0.500 0.000 0.500
Bi 0.500 0.500 0.000
H 0.000 0.000 0.500

Density, Mg/m³: 4.8
Calculated volume, A^3/atom: 18.5
Fermi-level density of states, states/eV/f.u.: 1.4
Total energy, eV/atom: -2.66



# 7
The following is a GGA-PBE calculation of crystalline Ac2Pr3Nd7 at its relaxed geometry, from the Alexandria database.

a b c (Å): 6.075 3.735 19.916
angles (deg): 90.00 93.13 90.00
Sites, in units of the cell vectors:
Ac 0.204 0.000 0.294
Ac 0.796 0.000 0.706
Pr 0.000 0.000 0.000
Pr 0.284 0.500 0.629
Pr 0.716 0.500 0.371
Nd 0.180 0.500 0.140
Nd 0.243 0.000 0.466
Nd 0.318 0.000 0.830
Nd 0.500 0.500 0.000
Nd 0.682 0.000 0.170
Nd 0.757 0.000 0.534
Nd 0.820 0.500 0.860

ΔE_f, eV per atom: 0.09
Density, Mg/m³: 6.9
Calculated volume, A^3/atom: 37.6
Fermi-level density of states, states/eV/f.u.: 15.4
Total energy, eV/atom: -4.57



# 8
The following is a GGA-PBE calculation of crystalline BaSn2Ge2 at its relaxed geometry, from the Alexandria database.

a b c (Å): 6.391 6.391 6.391
angles (deg): 131.10 131.10 71.65
Sites, in units of the cell vectors:
Ba 0.000 0.000 0.000
Sn 0.355 0.355 0.000
Sn 0.645 0.645 0.000
Ge 0.250 0.750 0.500
Ge 0.750 0.250 0.500

ΔE_f, eV per atom: -0.27
Density, Mg/m³: 6.0
Calculated volume, A^3/atom: 29.0
Fermi-level density of states, states/eV/f.u.: 2.6
Total energy, eV/atom: -4.10



# 9
The following is a GGA-PBE calculation of crystalline CeZr2Zn3 at its relaxed geometry, from the Alexandria database.

a b c (Å): 3.362 3.362 10.671
angles (deg): 90.00 90.00 90.00
Sites, in units of the cell vectors:
Ce 0.000 0.000 0.000
Zr 0.000 0.000 0.344
Zr 0.000 0.000 0.656
Zn 0.500 0.500 0.194
Zn 0.500 0.500 0.500
Zn 0.500 0.500 0.806

ΔE_f, eV per atom: -0.23
Density, Mg/m³: 7.1
Calculated volume, A^3/atom: 20.1
Fermi-level density of states, states/eV/f.u.: 7.0
Total energy, eV/atom: -4.70



# 10
The following is a GGA-PBE calculation of crystalline LiScP at its relaxed geometry, from the Alexandria database.

a b c (Å): 4.331 4.331 4.331
angles (deg): 60.00 60.00 60.00
Sites, in units of the cell vectors:
Li 0.000 0.000 0.000
Sc 0.750 0.750 0.750
P 0.500 0.500 0.500

ΔE_f, eV per atom: -0.44
Density, Mg/m³: 2.4
Calculated volume, A^3/atom: 19.2
Fermi-level density of states, states/eV/f.u.: 1.9
Total energy, eV/atom: -4.99



# 11
The following is a GGA-PBE calculation of crystalline Sr2AlIn at its relaxed geometry, from the Alexandria database.

a b c (Å): 6.290 6.290 6.290
angles (deg): 133.40 133.40 68.03
Sites, in units of the cell vectors:
Sr 0.000 0.000 0.000
Sr 0.750 0.250 0.500
Al 0.250 0.750 0.500
In 0.500 0.500 0.000

ΔE_f, eV per atom: -0.09
Density, Mg/m³: 4.1
Calculated volume, A^3/atom: 32.3
Fermi-level density of states, states/eV/f.u.: 3.2
Total energy, eV/atom: -2.55



# 12
The following is a GGA-PBE calculation of crystalline Pm7In2Pb2 at its relaxed geometry, from the Alexandria database.

a b c (Å): 7.124 7.124 7.878
angles (deg): 90.00 90.00 109.54
Sites, in units of the cell vectors:
Pm 0.000 0.000 0.000
Pm 0.000 0.500 0.292
Pm 0.000 0.500 0.708
Pm 0.500 0.000 0.292
Pm 0.500 0.000 0.708
Pm 0.500 0.500 0.249
Pm 0.500 0.500 0.751
In 0.284 0.716 0.000
In 0.716 0.284 0.000
Pb 0.184 0.184 0.500
Pb 0.816 0.816 0.500

ΔE_f, eV per atom: -0.11
Density, Mg/m³: 7.3
Calculated volume, A^3/atom: 34.3
Fermi-level density of states, states/eV/f.u.: 13.5
Total energy, eV/atom: -4.31